DFT (PBE-GGA) results for a geometry-optimized Dy2NpIr9 structure.

The calculation puts the magnetization at 0.23 μB/atom. The calculation puts the energy of formation from the pure elements at -492 meV per atom.

The structure belongs to space group R-3m (No. 166, hexagonal axes); the cell edges are 5.2977, 5.2977 and 26.3376 Å and the angles 90.00°, 90.00° and 120.00°. Symmetry generates all atoms from Dy at (0.0000, 0.0000, 0.1398), Np at (0.0000, 0.0000, 0.0000), Ir at (0.0000, 0.0000, 0.3333), Ir at (0.0000, 0.0000, 0.5000) and Ir at (0.0002, 0.5001, 0.0822).